[1]
Computed, not measured: a relaxed Ac5Pd4Pt crystal at the PBE level of DFT.

Cell lengths 9.8712, 9.8712, 6.2352 Å; angles 90.00, 90.00, 90.00 degrees
Space group I4/m (No. 87)
Asymmetric unit:
Ac1 0.0000 0.0000 0.0000
Ac2 0.0992 0.7029 0.5000
Pd1 0.0993 0.6991 0.0000
Pt1 0.0000 0.0000 0.5000

Computed properties:
ΔH_f (0 K): -0.86 eV per atom

=====

[2]
Computed, not measured: a relaxed KBaPuN3 crystal at the PBE level of DFT.

Cell lengths 6.3423, 13.1710, 5.9273 Å; angles 90.00, 99.70, 90.00 degrees
Space group C2/c (No. 15)
Asymmetric unit:
K1 0.0000 0.0713 0.2500
Ba1 0.0000 0.2604 0.7500
Pu1 0.0000 0.4350 0.2500
N1 0.0000 0.2801 0.2500
N2 0.1764 0.4446 0.0066

Computed properties:
energy relative to the elements, uncorrected: -3.22 eV per formula unit

=====

[3]
Computed, not measured: a relaxed La2Ni4H crystal at the PBE level of DFT.

Cell lengths 3.9401, 3.9401, 14.6919 Å; angles 90.00, 90.00, 90.00 degrees
Space group I4/mmm (No. 139)
Asymmetric unit:
La1 0.0000 0.0000 0.1545
Ni1 0.0000 0.0000 0.3848
Ni2 0.0000 0.5000 0.0000
H1 0.0000 0.0000 0.5000

Computed properties:
E_tot: -5.4222 eV per atom

=====

[4]
Computed, not measured: a relaxed LiUNi2 crystal at the PBE level of DFT.

Cell lengths 2.9627, 2.9627, 6.3500 Å; angles 90.00, 90.00, 90.00 degrees
Space group P4/mmm (No. 123)
Asymmetric unit:
Li1 0.0000 0.0000 0.0000
U1 0.0000 0.0000 0.5000
Ni1 0.5000 0.5000 0.2124

Computed properties:
ΔH_f (0 K): -0.03 eV per atom

=====

[5]
Computed, not measured: a relaxed Sm2DyTm2Sc crystal at the PBE level of DFT.

Cell lengths 6.4767, 17.5371, 3.3140 Å; angles 90.00, 90.00, 90.00 degrees
Space group Pnnm (No. 58)
Asymmetric unit:
Sm1 0.2439 0.1839 0.0000
Dy1 0.0000 0.5000 0.0000
Tm1 0.2424 0.3560 0.5000
Sc1 0.0000 0.0000 0.0000

Computed properties:
ΔH_f (0 K): 0.28 eV per atom

=====

[6]
Computed, not measured: a relaxed CuHgHPb2 crystal at the PBE level of DFT.

Cell lengths 5.6909, 5.6909, 3.3164 Å; angles 90.00, 90.00, 90.00 degrees
Space group P4/mmm (No. 123)
Asymmetric unit:
Cu1 0.0000 0.0000 0.0000
Hg1 0.5000 0.5000 0.5000
H1 0.0000 0.0000 0.5000
Pb1 0.0000 0.5000 0.0000

Computed properties:
E_tot: -2.8290 eV per atom

=====

[7]
Computed, not measured: a relaxed SrIr2W crystal at the PBE level of DFT.

Cell lengths 3.0309, 4.5691, 5.9084 Å; angles 90.00, 99.35, 90.00 degrees
Space group Pm (No. 6)
Asymmetric unit:
Sr1 0.0000 0.0000 0.0000
Ir1 0.4162 0.0000 0.4895
Ir2 0.4257 0.5000 0.7778
W1 0.8086 0.5000 0.4349

Computed properties:
ΔE to the lowest computed polymorph: 297.3 meV per atom
ΔH_f (0 K): 0.33 eV per atom

=====

[8]
Computed, not measured: a relaxed ErSb2Pd7Pb2 crystal at the PBE level of DFT.

Cell lengths 5.7755, 5.7783, 15.2735 Å; angles 90.00, 95.38, 90.00 degrees
Space group C2/m (No. 12)
Asymmetric unit:
Er1 0.0000 0.0000 0.0000
Sb1 0.0636 0.5000 0.2480
Pd1 0.0000 0.5000 0.0000
Pd2 0.1139 0.5000 0.4228
Pd3 0.2146 0.2503 0.8629
Pb1 0.1190 0.0000 0.4017

Computed properties:
energy relative to the elements, uncorrected: -5.80 eV per formula unit